1.
# Na8PbS6 PBE-GGA optimized geometry
data_Na8PbS6
_cell_length_a 7.9589
_cell_length_b 8.3392
_cell_length_c 11.7354
_cell_angle_alpha 90.00
_cell_angle_beta 90.00
_cell_angle_gamma 90.00
_space_group_name_H-M_alt 'P 1'
_space_group_IT_number 1
loop_
_space_group_symop_operation_xyz
'x,y,z'
loop_
_atom_site_label
_atom_site_fract_x
_atom_site_fract_y
_atom_site_fract_z
Na1 0.0000 0.1377 0.0000
Na2 0.0000 0.2355 0.4414
Na3 0.2036 0.5774 0.7908
Na4 0.2048 0.7065 0.1077
Na5 0.2214 0.9428 0.7702
Na6 0.2786 0.0572 0.2702
Na7 0.2952 0.2935 0.6077
Na8 0.2964 0.4226 0.2908
Na9 0.5000 0.7645 0.9414
Na10 0.5000 0.8623 0.5000
Na11 0.7036 0.4226 0.2908
Na12 0.7048 0.2935 0.6077
Na13 0.7214 0.0572 0.2702
Na14 0.7786 0.9428 0.7702
Na15 0.7952 0.7065 0.1077
Na16 0.7964 0.5774 0.7908
Pb1 0.0000 0.7426 0.4654
Pb2 0.5000 0.2574 0.9654
S1 0.0000 0.2558 0.2211
S2 0.0000 0.4930 0.5927
S3 0.0000 0.7847 0.9290
S4 0.0000 0.9919 0.5891
S5 0.2433 0.2577 0.8419
S6 0.2567 0.7423 0.3419
S7 0.5000 0.0081 0.0891
S8 0.5000 0.2153 0.4290
S9 0.5000 0.5070 0.0927
S10 0.5000 0.7442 0.7211
S11 0.7433 0.7423 0.3419
S12 0.7567 0.2577 0.8419
# - Crystal system: orthorhombic
# - M_tot: 0.01 μB per atom
# - Energy: -3.45 eV/atom


2.
# Pm2MnSi PBE-GGA optimized geometry
data_Pm2MnSi
_cell_length_a 4.7914
_cell_length_b 4.7914
_cell_length_c 4.0348
_cell_angle_alpha 90.00
_cell_angle_beta 90.00
_cell_angle_gamma 90.00
_space_group_name_H-M_alt 'P 1'
_space_group_IT_number 1
loop_
_space_group_symop_operation_xyz
'x,y,z'
loop_
_atom_site_label
_atom_site_fract_x
_atom_site_fract_y
_atom_site_fract_z
Pm1 0.0000 0.5000 0.0000
Pm2 0.5000 0.0000 0.0000
Mn1 0.0000 0.0000 0.5000
Si1 0.5000 0.5000 0.5000
# - Crystal system: tetragonal
# - M_tot: 0.73 μB per atom
# - Energy: -6.14 eV/atom


3.
# GdPaRe PBE-GGA optimized geometry
data_GdPaRe
_cell_length_a 6.1658
_cell_length_b 6.1658
_cell_length_c 6.1658
_cell_angle_alpha 147.11
_cell_angle_beta 147.11
_cell_angle_gamma 47.21
_space_group_name_H-M_alt 'P 1'
_space_group_IT_number 1
loop_
_space_group_symop_operation_xyz
'x,y,z'
loop_
_atom_site_label
_atom_site_fract_x
_atom_site_fract_y
_atom_site_fract_z
Gd1 0.0000 0.0000 0.0000
Pa1 0.6987 0.6987 0.0000
Re1 0.3197 0.3197 0.0000
# - Energy of formation from the pure elements: 0.027 eV/atom
# - Crystal system: tetragonal
# - M_tot: 2.37 μB per atom


Which of these has the highest M_tot? GdPaRe


What is the formula in the third record? GdPaRe


Among the records above, which one has the lowest M_tot? Na8PbS6


Which formula does entry 3 have? GdPaRe